Here is a geometry-optimized CoPbI2N structure from Alexandria. Energies are from GGA-PBEsol.

Results
The uncorrected formation energy is 1437 meV per atom. The total energy comes out at -3.322 eV/atom.

abc: 6.0614 6.0614 4.0618
angles: 90.00 90.00 90.00
Fractional positions:
Co (0.0000, 0.0000, 0.0000)
Pb (0.5000, 0.5000, 0.5000)
I (0.0000, 0.5000, 0.5000)
I (0.5000, 0.0000, 0.5000)
N (0.5000, 0.5000, 0.0000)

Here is a geometry-optimized Co2RhIN structure from Alexandria. Energies are from GGA-PBEsol.

Results
The uncorrected formation energy is 2452 meV per atom. The total energy comes out at -4.329 eV/atom.

abc: 4.6099 4.6099 4.8522
angles: 90.00 90.00 90.00
Fractional positions:
Co (0.0000, 0.5000, 0.0000)
Co (0.5000, 0.0000, 0.0000)
Rh (0.0000, 0.0000, 0.5000)
I (0.0000, 0.0000, 0.0000)
N (0.5000, 0.5000, 0.5000)

Here is a geometry-optimized CoRuI2N structure from Alexandria. Energies are from GGA-PBEsol.

Results
The uncorrected formation energy is 806 meV per atom. The total energy comes out at -5.188 eV/atom.

abc: 5.3962 5.3962 3.6328
angles: 90.00 90.00 90.00
Fractional positions:
Co (0.0000, 0.0000, 0.0000)
Ru (0.5000, 0.5000, 0.5000)
I (0.0000, 0.5000, 0.5000)
I (0.5000, 0.0000, 0.5000)
N (0.5000, 0.5000, 0.0000)

Here is a geometry-optimized CoRuI2N structure from Alexandria. Energies are from GGA-PBEsol.

Results
The uncorrected formation energy is 842 meV per atom. The total energy comes out at -5.152 eV/atom.

abc: 5.1235 5.1235 3.3419
angles: 90.00 90.00 90.00
Fractional positions:
Co (0.0000, 0.0000, 0.0000)
Ru (0.5000, 0.5000, 0.5000)
I (0.0000, 0.5000, 0.0000)
I (0.5000, 0.0000, 0.0000)
N (0.0000, 0.0000, 0.5000)

Here is a geometry-optimized CoSI2N structure from Alexandria. Energies are from GGA-PBEsol.

Results
The uncorrected formation energy is 591 meV per atom. The total energy comes out at -4.245 eV/atom.

abc: 5.2869 5.2869 3.4006
angles: 90.00 90.00 90.00
Fractional positions:
Co (0.0000, 0.0000, 0.0000)
S (0.5000, 0.5000, 0.5000)
I (0.0000, 0.5000, 0.0000)
I (0.5000, 0.0000, 0.0000)
N (0.0000, 0.0000, 0.5000)

Here is a geometry-optimized CoSbI2N structure from Alexandria. Energies are from GGA-PBEsol.

Results
The uncorrected formation energy is 1245 meV per atom. The total energy comes out at -3.626 eV/atom.

abc: 5.3303 5.3303 4.6699
angles: 90.00 90.00 90.00
Fractional positions:
Co (0.0000, 0.0000, 0.0000)
Sb (0.0000, 0.0000, 0.5000)
I (0.0000, 0.5000, 0.0000)
I (0.5000, 0.0000, 0.0000)
N (0.5000, 0.5000, 0.5000)

Here is a geometry-optimized SrCoI2N structure from Alexandria. Energies are from GGA-PBEsol.

Results
The uncorrected formation energy is -322 meV per atom. The total energy comes out at -4.650 eV/atom.

abc: 5.5626 5.5626 3.5935
angles: 90.00 90.00 90.00
Fractional positions:
Sr (0.0000, 0.0000, 0.0000)
Co (0.5000, 0.5000, 0.5000)
I (0.0000, 0.5000, 0.5000)
I (0.5000, 0.0000, 0.5000)
N (0.5000, 0.5000, 0.0000)

Here is a geometry-optimized TlCoI2N structure from Alexandria. Energies are from GGA-PBEsol.

Results
The uncorrected formation energy is 1484 meV per atom. The total energy comes out at -3.001 eV/atom.

abc: 6.0164 6.0164 4.0281
angles: 90.00 90.00 90.00
Fractional positions:
Tl (0.0000, 0.0000, 0.0000)
Co (0.5000, 0.5000, 0.5000)
I (0.0000, 0.5000, 0.0000)
I (0.5000, 0.0000, 0.0000)
N (0.0000, 0.0000, 0.5000)

Here is a geometry-optimized CoWIN2 structure from Alexandria. Energies are from GGA-PBEsol.

Results
The uncorrected formation energy is 1878 meV per atom. The total energy comes out at -6.195 eV/atom.

abc: 3.7990 3.7990 4.8929
angles: 90.00 90.00 90.00
Fractional positions:
Co (0.0000, 0.0000, 0.0000)
W (0.5000, 0.5000, 0.5000)
I (0.0000, 0.0000, 0.5000)
N (0.0000, 0.5000, 0.0000)
N (0.5000, 0.0000, 0.0000)

Here is a geometry-optimized Na3CoI structure from Alexandria. Energies are from GGA-PBEsol.

Results
The uncorrected formation energy is 408 meV per atom. The total energy comes out at -2.332 eV/atom.

abc: 5.4389 5.4389 5.4389
angles: 90.00 90.00 90.00
Fractional positions:
Na (0.0000, 0.0000, 0.5000)
Na (0.0000, 0.5000, 0.0000)
Na (0.5000, 0.0000, 0.0000)
Co (0.0000, 0.0000, 0.0000)
I (0.5000, 0.5000, 0.5000)

Here is a geometry-optimized NaCo3I structure from Alexandria. Energies are from GGA-PBEsol.

Results
The uncorrected formation energy is 1245 meV per atom. The total energy comes out at -4.030 eV/atom.

abc: 4.6172 4.6172 4.6172
angles: 90.00 90.00 90.00
Fractional positions:
Na (0.0000, 0.0000, 0.0000)
Co (0.0000, 0.5000, 0.5000)
Co (0.5000, 0.0000, 0.5000)
Co (0.5000, 0.5000, 0.0000)
I (0.5000, 0.5000, 0.5000)

Here is a geometry-optimized NaCoI2 structure from Alexandria. Energies are from GGA-PBEsol.

Results
The uncorrected formation energy is 136 meV per atom. The total energy comes out at -3.031 eV/atom.

abc: 5.1859 5.1859 5.1859
angles: 60.00 60.00 60.00
Fractional positions:
Na (0.0000, 0.0000, 0.0000)
Co (0.5000, 0.5000, 0.5000)
I (0.2500, 0.2500, 0.2500)
I (0.7500, 0.7500, 0.7500)

Here is a geometry-optimized NaCoSbI2 structure from Alexandria. Energies are from GGA-PBEsol.

Results
The uncorrected formation energy is -89 meV per atom. The total energy comes out at -3.535 eV/atom.

abc: 5.5622 5.5622 4.6645
angles: 90.00 90.00 90.00
Fractional positions:
Na (0.0000, 0.0000, 0.0000)
Co (0.5000, 0.5000, 0.5000)
Sb (0.5000, 0.5000, 0.0000)
I (0.0000, 0.5000, 0.5000)
I (0.5000, 0.0000, 0.5000)

Here is a geometry-optimized NaCoTeI2 structure from Alexandria. Energies are from GGA-PBEsol.

Results
The uncorrected formation energy is 942 meV per atom. The total energy comes out at -2.297 eV/atom.

abc: 5.5661 5.5661 5.5726
angles: 90.00 90.00 90.00
Fractional positions:
Na (0.0000, 0.0000, 0.0000)
Co (0.5000, 0.5000, 0.5000)
Te (0.0000, 0.0000, 0.5000)
I (0.0000, 0.5000, 0.0000)
I (0.5000, 0.0000, 0.0000)

Here is a geometry-optimized NbCo3I structure from Alexandria. Energies are from GGA-PBEsol.

Results
The uncorrected formation energy is 1599 meV per atom. The total energy comes out at -5.561 eV/atom.

abc: 4.4272 4.4272 4.4272
angles: 90.00 90.00 90.00
Fractional positions:
Nb (0.0000, 0.0000, 0.0000)
Co (0.0000, 0.5000, 0.5000)
Co (0.5000, 0.0000, 0.5000)
Co (0.5000, 0.5000, 0.0000)
I (0.5000, 0.5000, 0.5000)

Here is a geometry-optimized SrNbCoI2 structure from Alexandria. Energies are from GGA-PBEsol.

Results
The uncorrected formation energy is 176 meV per atom. The total energy comes out at -4.610 eV/atom.

abc: 5.5304 5.5304 4.5259
angles: 90.00 90.00 90.00
Fractional positions:
Sr (0.0000, 0.0000, 0.0000)
Nb (0.5000, 0.5000, 0.5000)
Co (0.5000, 0.5000, 0.0000)
I (0.0000, 0.5000, 0.5000)
I (0.5000, 0.0000, 0.5000)

Here is a geometry-optimized Nd2Co2I structure from Alexandria. Energies are from GGA-PBEsol.

Results
The uncorrected formation energy is -588 meV per atom. The total energy comes out at -6.103 eV/atom.

abc: 3.9156 3.9156 17.3606
angles: 90.00 90.00 120.00
Fractional positions:
Nd (0.0000, 0.0000, 0.1071)
Nd (0.0000, 0.0000, 0.3929)
Nd (0.0000, 0.0000, 0.6071)
Nd (0.0000, 0.0000, 0.8929)
Co (0.3333, 0.6667, 0.0001)
Co (0.3333, 0.6667, 0.4999)
Co (0.6667, 0.3333, 0.9999)
Co (0.6667, 0.3333, 0.5001)
I (0.3333, 0.6667, 0.2500)
I (0.6667, 0.3333, 0.7500)

Here is a geometry-optimized CoNiIO2 structure from Alexandria. Energies are from GGA-PBEsol.

Results
The uncorrected formation energy is -43 meV per atom. The total energy comes out at -5.275 eV/atom.

abc: 3.5612 3.5612 5.8216
angles: 90.00 90.00 90.00
Fractional positions:
Co (0.0000, 0.0000, 0.0000)
Ni (0.5000, 0.5000, 0.5000)
I (0.0000, 0.0000, 0.5000)
O (0.0000, 0.5000, 0.0000)
O (0.5000, 0.0000, 0.0000)

Here is a geometry-optimized CoI2O6 structure from Alexandria. Energies are from GGA-PBEsol.

Results
The uncorrected formation energy is -414 meV per atom. The total energy comes out at -5.166 eV/atom.

abc: 10.8209 10.8209 4.8705
angles: 90.00 90.00 120.00
Fractional positions:
Co (0.0000, 0.0000, 0.0000)
Co (0.0038, 0.4932, 0.5030)
Co (0.4894, 0.9962, 0.5030)
Co (0.5068, 0.5106, 0.5030)
I (0.1519, 0.8341, 0.5584)
I (0.1659, 0.3178, 0.5584)
I (0.3333, 0.6667, 0.0919)
I (0.3465, 0.1789, 0.0669)
I (0.6667, 0.3333, 0.5511)
I (0.6822, 0.8481, 0.5584)
I (0.8211, 0.1676, 0.0669)
I (0.8324, 0.6535, 0.0669)
O (0.0223, 0.8507, 0.7874)
O (0.0389, 0.3571, 0.7401)
O (0.1317, 0.6694, 0.7184)
O (0.1493, 0.1715, 0.7874)
O (0.1754, 0.0452, 0.2264)
O (0.1765, 0.5214, 0.2747)
O (0.3182, 0.9611, 0.7401)
O (0.3306, 0.4622, 0.7184)
O (0.3449, 0.8235, 0.2747)
O (0.3685, 0.3337, 0.2730)
O (0.4646, 0.1407, 0.2861)
O (0.4786, 0.6551, 0.2747)
O (0.5378, 0.8683, 0.7184)
O (0.5508, 0.3832, 0.7469)
O (0.6168, 0.1676, 0.7469)
O (0.6429, 0.6818, 0.7401)
O (0.6663, 0.0348, 0.2730)
O (0.6760, 0.5354, 0.2861)
O (0.8285, 0.9777, 0.7874)
O (0.8324, 0.4492, 0.7469)
O (0.8593, 0.3240, 0.2861)
O (0.8698, 0.8246, 0.2264)
O (0.9548, 0.1302, 0.2264)
O (0.9652, 0.6315, 0.2730)

Here is a geometry-optimized CoI2O6 structure from Alexandria. Energies are from GGA-PBEsol.

Results
The uncorrected formation energy is -419 meV per atom. The total energy comes out at -5.171 eV/atom.

abc: 5.4037 4.9648 9.2796
angles: 90.00 90.15 90.00
Fractional positions:
Co (0.2326, 0.0000, 0.2464)
Co (0.7674, 0.5000, 0.7536)
I (0.2616, 0.4440, 0.5678)
I (0.2677, 0.9227, 0.9015)
I (0.7323, 0.4227, 0.0985)
I (0.7384, 0.9440, 0.4322)
O (0.0237, 0.7615, 0.3789)
O (0.0874, 0.7140, 0.7706)
O (0.1395, 0.7832, 0.0706)
O (0.3500, 0.2165, 0.4166)
O (0.4402, 0.2224, 0.1017)
O (0.4659, 0.2777, 0.7022)
O (0.5341, 0.7777, 0.2978)
O (0.5598, 0.7224, 0.8983)
O (0.6500, 0.7165, 0.5834)
O (0.8605, 0.2832, 0.9294)
O (0.9126, 0.2140, 0.2294)
O (0.9763, 0.2615, 0.6211)